(1)
VASP calculation (PBE-GGA) on a relaxed Sr3NpP4 crystal.

**Spin magnetization**: 1.0 μB per formula unit
**ΔH_f (0 K)**: -90.2 kJ per mole of atoms
**Total energy**: -5.888 eV/atom

abc: 7.4024 8.5241 7.3175
angles: 90.00 109.82 90.00
With the nearest neighbours (Å) after each atom.
Space group P2/c (No. 13)
Asymmetric unit:
Sr: 0.0000 0.1210 0.2500 (multiplicity 2)  6 P 2.98-3.31
Sr: 0.0000 0.3785 0.7500 (multiplicity 2)  6 P 3.00-3.32
Sr: 0.5000 0.1228 0.7500 (multiplicity 2)  6 P 3.04-3.09
Np: 0.5000 0.3743 0.2500 (multiplicity 2)  6 P 2.66-2.75
P: 0.2702 0.1556 0.0301 (multiplicity 4)  1 Np 2.66, 1 Sr 2.98
P: 0.2970 0.3974 0.4972 (multiplicity 4)  2 Np 2.72-2.75, 2 Sr 3.01-3.05



(2)
VASP calculation (PBE-GGA) on a relaxed K6HBr2O crystal.

**Spin magnetization**: 0.5 μB per formula unit
**Total energy**: -2.803 eV/atom

abc: 7.6579 7.6579 7.1565
angles: 90.00 90.00 120.00
With the nearest neighbours (Å) after each atom.
Space group P-3m1 (No. 164)
Asymmetric unit:
K: 0.1531 0.3063 0.2787 (multiplicity 6)  1 O 2.58, 1 H 2.85
H: 0.0000 0.0000 0.0000 (multiplicity 1)  6 K 2.85
Br: 0.3333 0.6667 0.6160 (multiplicity 2)  3 K 3.40
O: 0.0000 0.0000 0.5000 (multiplicity 1)  6 K 2.58



(3)
VASP calculation (PBE-GGA) on a relaxed PaAg3 crystal.

**Spin magnetization**: 1.7 μB per formula unit
**ΔH_f (0 K)**: 25.1 kJ per mole of atoms
**Total energy**: -4.252 eV/atom

abc: 2.9277 4.9390 5.8410
angles: 90.00 90.00 90.00
With the nearest neighbours (Å) after each atom.
Space group Pmm2 (No. 25)
Asymmetric unit:
Pa: 0.0000 0.0000 0.0000 (multiplicity 1)  2 Pa 2.93, 8 Ag 3.16-3.25
Ag: 0.0000 0.5000 0.6629 (multiplicity 1)  8 Ag 2.93-3.02, 2 Pa 3.16
Ag: 0.5000 0.0000 0.5040 (multiplicity 1)  8 Ag 2.93-3.02, 2 Pa 3.25
Ag: 0.5000 0.5000 0.2292 (multiplicity 1)  6 Ag 2.93-2.95, 4 Pa 3.17